The following is a DFT calculation (PBE+U) of a relaxed structure of MoSF2.

The structure belongs to space group I-42d (No. 122); the cell edges are 3.768, 3.768 and 16.041 Å and the angles 90.00°, 90.00° and 90.00°. The asymmetric unit holds Mo at (0.000, 0.000, 0.000), S at (0.000, 0.000, 0.500) and F at (0.193, 0.250, 0.125).

The energy above the most stable polymorph in this dataset comes out at 0.0 kJ/mol of atoms. As for the density: 4.843 g cm⁻³.